Entry 1:
Entry from the Alexandria database: a relaxed DyHfTc4 crystal (GGA-PBE).

POSCAR file:
```
DyHfTc4
1.0
-2.584 4.611 0.645
-2.046 1.263 4.751
2.192 3.898 2.891
Tc Hf Dy
4 1 1
Cartesian
-0.229 3.800 4.859 Tc
-0.499 5.477 2.801 Tc
-2.623 4.157 3.733 Tc
-1.524 6.111 5.182 Tc
0.000 0.000 0.000 Hf
-0.609 2.443 2.072 Dy
```

Calculated values
* formation energy: -0.20 eV/atom

Entry 2:
Entry from the Alexandria database: a relaxed DyHf2Tc crystal (GGA-PBE).

POSCAR file:
```
DyHf2Tc
1.0
3.312 0.000 0.000
0.000 3.312 0.000
0.000 0.000 8.052
Hf Tc Dy
2 1 1
Cartesian
0.000 0.000 1.533 Hf
0.000 0.000 6.519 Hf
1.656 1.656 0.000 Tc
1.656 1.656 4.026 Dy
```

Calculated values
* formation energy: -0.16 eV/atom

Entry 3:
Entry from the Alexandria database: a relaxed DyHfTe2 crystal (GGA-PBE).

POSCAR file:
```
DyHfTe2
1.0
3.889 0.000 0.000
1.945 3.368 0.000
1.945 1.123 9.743
Dy Te Hf
1 2 1
Cartesian
0.000 0.000 0.000 Dy
5.834 3.368 3.059 Te
1.945 1.123 6.684 Te
3.889 2.245 4.872 Hf
```

Calculated values
* total energy: -5.744 eV per atom

What is the formula in the third record? DyHfTe2